Below is a PBEsol-optimized structure of CrIrCl2, with properties calculated at the SCAN level.

Cell: 2.969 2.857 8.173 Å, 90.00 90.17 90.00°
Element x y z (fractional)
Cr 0.000 0.000 0.000
Ir 0.501 0.500 0.176
Cl 0.503 0.000 0.417
Cl 0.998 0.500 0.791

E = -26.63 eV/atom
spin magnetization = 0.49 μB/atom
density of states at the Fermi level = 2.19 states/eV per cell
ΔE_f (raw) = -0.27 eV per atom
SG = Pm
ΔE to the lowest computed polymorph = 0.0 kJ/mol of formula units

***

Below is a PBEsol-optimized structure of BeGeO2, with properties calculated at the SCAN level.

Cell: 4.916 4.916 4.916 Å, 121.45 121.45 87.50°
Element x y z (fractional)
Be 0.000 0.000 0.000
Be 0.750 0.250 0.500
Ge 0.250 0.750 0.500
Ge 0.500 0.500 0.000
O 0.023 0.625 0.898
O 0.375 0.273 0.398
O 0.727 0.125 0.102
O 0.875 0.977 0.602

E = -10.59 eV/atom
spin magnetization = 0.00 μB/atom
ΔE_f (raw) = -1.61 eV per atom
SG = I-42d

***

Below is a PBEsol-optimized structure of MoRh7, with properties calculated at the SCAN level.

Cell: 5.360 5.360 5.360 Å, 60.00 60.00 60.00°
Element x y z (fractional)
Mo 0.000 0.000 0.000
Rh 0.000 0.000 0.500
Rh 0.000 0.500 0.000
Rh 0.000 0.500 0.500
Rh 0.500 0.000 0.000
Rh 0.500 0.000 0.500
Rh 0.500 0.500 0.000
Rh 0.500 0.500 0.500

E = -34.00 eV/atom
spin magnetization = 0.00 μB/atom
density of states at the Fermi level = 6.98 states/eV per cell
ΔE_f = -0.092 eV/atom
SG = Fm-3m

***

Below is a PBEsol-optimized structure of LiY2Zn, with properties calculated at the SCAN level.

Cell: 3.569 3.569 7.312 Å, 90.00 90.00 90.00°
Element x y z (fractional)
Li 0.000 0.000 0.000
Y 0.500 0.500 0.271
Y 0.500 0.500 0.729
Zn 0.000 0.000 0.500

E = -18.09 eV/atom
spin magnetization = 0.04 μB/atom
density of states at the Fermi level = 3.66 states/eV per cell
ΔE_f = -0.189 eV/atom
SG = P4/mmm

***

Below is a PBEsol-optimized structure of AlPtW2, with properties calculated at the SCAN level.

Cell: 2.785 2.785 9.231 Å, 98.81 98.81 60.01°
Element x y z (fractional)
Al 0.000 0.000 0.000
Pt 0.500 0.500 0.500
W 0.251 0.251 0.749
W 0.749 0.749 0.251

E = -54.32 eV/atom
spin magnetization = 0.00 μB/atom
density of states at the Fermi level = 2.98 states/eV per cell
ΔE_f = 0.005 eV/atom
SG = C2/m

***

Below is a PBEsol-optimized structure of Re2HgAs, with properties calculated at the SCAN level.

Cell: 2.939 4.641 4.791 Å, 90.00 90.00 90.00°
Element x y z (fractional)
Re 0.000 0.000 0.000
Re 0.500 0.000 0.500
Hg 0.000 0.500 0.500
As 0.500 0.500 0.000

E = -56.60 eV/atom
spin magnetization = 0.00 μB/atom
density of states at the Fermi level = 3.48 states/eV per cell
ΔE_f = 1.035 eV/atom
SG = Pmmm
ΔE to the lowest computed polymorph = 160.3 kJ/mol of formula units

***

Below is a PBEsol-optimized structure of ZnCu, with properties calculated at the SCAN level.

Cell: 2.737 2.737 6.643 Å, 90.00 90.00 90.00°
Element x y z (fractional)
Zn 0.250 0.250 0.138
Zn 0.750 0.750 0.862
Cu 0.250 0.250 0.618
Cu 0.750 0.750 0.382

E = -14.40 eV/atom
spin magnetization = 0.00 μB/atom
density of states at the Fermi level = 0.85 states/eV per cell
ΔE_f = -0.047 eV/atom
SG = P4/nmm

***

Below is a PBEsol-optimized structure of Al2NiAu, with properties calculated at the SCAN level.

Cell: 2.990 2.990 6.149 Å, 90.00 90.00 90.00°
Element x y z (fractional)
Al 0.000 0.000 0.219
Al 0.000 0.000 0.781
Ni 0.500 0.500 0.000
Au 0.500 0.500 0.500

E = -25.82 eV/atom
spin magnetization = 0.00 μB/atom
density of states at the Fermi level = 0.98 states/eV per cell
ΔE_f = -0.612 eV/atom
SG = P4/mmm

***

Below is a PBEsol-optimized structure of LaYSi2, with properties calculated at the SCAN level.

Cell: 4.945 4.945 4.945 Å, 60.00 60.00 60.00°
Element x y z (fractional)
La 0.000 0.000 0.000
Y 0.750 0.750 0.750
Si 0.250 0.250 0.250
Si 0.500 0.500 0.500

E = -22.64 eV/atom
spin magnetization = 0.00 μB/atom
density of states at the Fermi level = 3.33 states/eV per cell
ΔE_f (raw) = 0.10 eV per atom
SG = F-43m
ΔE to the lowest computed polymorph = 349.2 kJ/mol of formula units

***

Below is a PBEsol-optimized structure of GaPd3N, with properties calculated at the SCAN level.

Cell: 4.086 4.086 4.086 Å, 90.00 90.00 90.00°
Element x y z (fractional)
Ga 0.000 0.000 0.000
Pd 0.000 0.500 0.500
Pd 0.500 0.000 0.500
Pd 0.500 0.500 0.000
N 0.500 0.500 0.500

E = -24.69 eV/atom
spin magnetization = 0.00 μB/atom
density of states at the Fermi level = 1.94 states/eV per cell
ΔE_f (raw) = 0.10 eV per atom
SG = Pm-3m

***

Below is a PBEsol-optimized structure of HfTcNiF2, with properties calculated at the SCAN level.

Cell: 3.886 3.886 5.389 Å, 90.00 90.00 90.00°
Element x y z (fractional)
Hf 0.000 0.000 0.000
Tc 0.000 0.000 0.500
Ni 0.500 0.500 0.500
F 0.000 0.500 0.000
F 0.500 0.000 0.000

E = -25.16 eV/atom
spin magnetization = 0.52 μB/atom
density of states at the Fermi level = 2.94 states/eV per cell
ΔE_f (raw) = -0.97 eV per atom
SG = P4/mmm

***

Below is a PBEsol-optimized structure of BeCu2Au, with properties calculated at the SCAN level.

Cell: 4.088 4.088 4.088 Å, 60.00 60.00 60.00°
Element x y z (fractional)
Be 0.000 0.000 0.000
Cu 0.500 0.500 0.500
Cu 0.750 0.750 0.750
Au 0.250 0.250 0.250

E = -26.10 eV/atom
spin magnetization = 0.00 μB/atom
density of states at the Fermi level = 1.09 states/eV per cell
ΔE_f = -0.121 eV/atom
SG = F-43m

***

Below is a PBEsol-optimized structure of Zr2TiPb3O9, with properties calculated at the SCAN level.

Cell: 9.083 9.083 4.183 Å, 90.27 90.27 143.11°
Element x y z (fractional)
Zr 0.166 0.834 0.000
Zr 0.834 0.166 0.000
Ti 0.503 0.503 0.023
Pb 0.311 0.625 0.555
Pb 0.625 0.311 0.555
Pb 0.978 0.978 0.565
O 0.038 0.525 0.949
O 0.193 0.875 0.479
O 0.195 0.355 0.946
O 0.355 0.195 0.946
O 0.517 0.517 0.452
O 0.525 0.038 0.949
O 0.675 0.832 0.943
O 0.832 0.675 0.943
O 0.875 0.193 0.479

E = -26.69 eV/atom
spin magnetization = 0.00 μB/atom
density of states at the Fermi level = 0.00 states/eV per cell
ΔE_f (raw) = -2.63 eV per atom
SG = Cm
ΔE to the lowest computed polymorph = 0.0 kJ/mol of formula units

***

Below is a PBEsol-optimized structure of Ho2NiIr, with properties calculated at the SCAN level.

Cell: 4.715 4.715 4.715 Å, 60.00 60.00 60.00°
Element x y z (fractional)
Ho 0.250 0.250 0.250
Ho 0.750 0.750 0.750
Ni 0.000 0.000 0.000
Ir 0.500 0.500 0.500

E = -47.11 eV/atom
spin magnetization = 0.00 μB/atom
density of states at the Fermi level = 1.82 states/eV per cell
ΔE_f = -0.796 eV/atom
SG = Fm-3m

***

Below is a PBEsol-optimized structure of RbBa2Na2, with properties calculated at the SCAN level.

Cell: 10.681 10.681 4.832 Å, 90.00 90.00 90.00°
Element x y z (fractional)
Rb 0.000 0.000 0.000
Rb 0.500 0.500 0.000
Ba 0.164 0.336 0.500
Ba 0.336 0.836 0.500
Ba 0.664 0.164 0.500
Ba 0.836 0.664 0.500
Na 0.127 0.627 0.000
Na 0.373 0.127 0.000
Na 0.627 0.873 0.000
Na 0.873 0.373 0.000

E = -21.59 eV/atom
spin magnetization = 0.00 μB/atom
density of states at the Fermi level = 8.58 states/eV per cell
ΔE_f = 0.062 eV/atom
SG = P4/mbm

***

Below is a PBEsol-optimized structure of FePdO2F, with properties calculated at the SCAN level.

Cell: 3.914 3.914 3.971 Å, 90.00 90.00 90.00°
Element x y z (fractional)
Fe 0.000 0.000 0.000
Pd 0.500 0.500 0.500
O 0.000 0.500 0.500
O 0.500 0.000 0.500
F 0.500 0.500 0.000

E = -13.72 eV/atom
spin magnetization = 0.81 μB/atom
density of states at the Fermi level = 1.03 states/eV per cell
ΔE_f (raw) = -0.34 eV per atom
SG = P4/mmm

***

Below is a PBEsol-optimized structure of HgPb2, with properties calculated at the SCAN level.

Cell: 5.402 5.402 6.518 Å, 90.00 90.00 120.00°
Element x y z (fractional)
Hg 0.333 0.667 0.250
Hg 0.667 0.333 0.750
Pb 0.000 0.000 0.000
Pb 0.000 0.000 0.500
Pb 0.333 0.667 0.750
Pb 0.667 0.333 0.250

E = -73.20 eV/atom
spin magnetization = 0.00 μB/atom
density of states at the Fermi level = 2.60 states/eV per cell
ΔE_f = 0.047 eV/atom
SG = P6_3/mmc
ΔE to the lowest computed polymorph = 7.8 kJ/mol of formula units

***

Below is a PBEsol-optimized structure of ScBi2BRh, with properties calculated at the SCAN level.

Cell: 5.458 5.458 4.531 Å, 90.00 90.00 90.00°
Element x y z (fractional)
Sc 0.000 0.000 0.000
Bi 0.000 0.500 0.000
Bi 0.500 0.000 0.000
B 0.500 0.500 0.500
Rh 0.000 0.000 0.500

E = -41.10 eV/atom
spin magnetization = 0.00 μB/atom
density of states at the Fermi level = 2.98 states/eV per cell
ΔE_f = 1.415 eV/atom
SG = P4/mmm

***

Below is a PBEsol-optimized structure of Sr2AgSnO, with properties calculated at the SCAN level.

Cell: 6.142 6.142 4.941 Å, 90.00 90.00 90.00°
Element x y z (fractional)
Sr 0.000 0.500 0.000
Sr 0.500 0.000 0.000
Ag 0.000 0.000 0.500
Sn 0.000 0.000 0.000
O 0.500 0.500 0.500

E = -23.62 eV/atom
spin magnetization = 0.12 μB/atom
density of states at the Fermi level = 5.57 states/eV per cell
ΔE_f (raw) = 0.00 eV per atom
SG = P4/mmm

***

Below is a PBEsol-optimized structure of SrSbTe2As, with properties calculated at the SCAN level.

Cell: 5.919 5.919 6.014 Å, 90.00 90.00 90.00°
Element x y z (fractional)
Sr 0.000 0.000 0.000
Sb 0.000 0.000 0.500
Te 0.000 0.500 0.000
Te 0.500 0.000 0.000
As 0.500 0.500 0.500

E = -30.00 eV/atom
spin magnetization = 0.17 μB/atom
density of states at the Fermi level = 6.25 states/eV per cell
ΔE_f (raw) = 0.84 eV per atom
SG = P4/mmm

***

Below is a PBEsol-optimized structure of TaAlZn, with properties calculated at the SCAN level.

Cell: 8.254 4.967 4.967 Å, 60.69 90.00 90.00°
Element x y z (fractional)
Ta 0.185 0.000 0.000
Ta 0.310 0.328 0.328
Ta 0.690 0.328 0.328
Ta 0.815 0.000 0.000
Al 0.000 0.012 0.498
Al 0.000 0.498 0.012
Al 0.258 0.662 0.662
Al 0.742 0.662 0.662
Zn 0.000 0.499 0.499
Zn 0.500 0.317 0.837
Zn 0.500 0.836 0.836
Zn 0.500 0.837 0.317

E = -29.60 eV/atom
spin magnetization = 0.00 μB/atom
density of states at the Fermi level = 2.41 states/eV per cell
ΔE_f = -0.313 eV/atom
SG = Amm2

***

Below is a PBEsol-optimized structure of La2BrF, with properties calculated at the SCAN level.

Cell: 6.350 6.350 6.350 Å, 107.30 107.30 113.90°
Element x y z (fractional)
La 0.058 0.125 0.433
La 0.375 0.942 0.067
La 0.692 0.625 0.567
La 0.875 0.308 0.933
Br 0.250 0.750 0.500
Br 0.500 0.500 0.000
F 0.000 0.000 0.000
F 0.750 0.250 0.500

E = -29.07 eV/atom
spin magnetization = 0.00 μB/atom
density of states at the Fermi level = 8.73 states/eV per cell
ΔE_f (raw) = -1.77 eV per atom
SG = I-42d

***

Below is a PBEsol-optimized structure of MnTeCI2, with properties calculated at the SCAN level.

Cell: 4.817 4.817 4.985 Å, 90.00 90.00 90.00°
Element x y z (fractional)
Mn 0.000 0.000 0.000
Te 0.500 0.500 0.000
C 0.500 0.500 0.500
I 0.000 0.500 0.500
I 0.500 0.000 0.500

E = -26.73 eV/atom
spin magnetization = 1.00 μB/atom
density of states at the Fermi level = 2.06 states/eV per cell
ΔE_f (raw) = 1.09 eV per atom
SG = P4/mmm

***

Below is a PBEsol-optimized structure of LiYCd, with properties calculated at the SCAN level.

Cell: 5.598 5.598 5.598 Å, 141.50 141.50 55.58°
Element x y z (fractional)
Li 0.000 0.000 0.000
Y 0.312 0.312 0.000
Cd 0.634 0.634 0.000

E = -20.44 eV/atom
spin magnetization = 0.10 μB/atom
density of states at the Fermi level = 1.24 states/eV per cell
ΔE_f = -0.226 eV/atom
SG = I4mm
ΔE to the lowest computed polymorph = 6.5 kJ/mol of formula units

***

Below is a PBEsol-optimized structure of NbBrN2O, with properties calculated at the SCAN level.

Cell: 4.204 4.204 3.868 Å, 90.00 90.00 90.00°
Element x y z (fractional)
Nb 0.000 0.000 0.000
Br 0.500 0.500 0.500
N 0.000 0.500 0.000
N 0.500 0.000 0.000
O 0.000 0.000 0.500

E = -15.22 eV/atom
spin magnetization = 0.00 μB/atom
density of states at the Fermi level = 2.96 states/eV per cell
ΔE_f (raw) = 0.26 eV per atom
SG = P4/mmm

***

Below is a PBEsol-optimized structure of ZrIn2, with properties calculated at the SCAN level.

Cell: 7.646 7.646 4.128 Å, 90.00 90.00 147.01°
Element x y z (fractional)
Zr 0.085 0.915 0.750
Zr 0.915 0.085 0.250
In 0.251 0.749 0.250
In 0.427 0.573 0.750
In 0.573 0.427 0.250
In 0.749 0.251 0.750

E = -32.82 eV/atom
spin magnetization = 0.00 μB/atom
density of states at the Fermi level = 4.02 states/eV per cell
ΔE_f = -0.334 eV/atom
SG = Cmcm

***

Below is a PBEsol-optimized structure of TaN, with properties calculated at the SCAN level.

Cell: 2.926 2.926 2.873 Å, 90.00 90.00 120.00°
Element x y z (fractional)
Ta 0.000 0.000 0.000
N 0.333 0.667 0.500

E = -39.24 eV/atom
spin magnetization = 0.00 μB/atom
density of states at the Fermi level = 0.05 states/eV per cell
ΔE_f (raw) = -1.30 eV per atom
SG = P-6m2

***

Below is a PBEsol-optimized structure of Li3GaRe, with properties calculated at the SCAN level.

Cell: 4.749 4.749 4.749 Å, 90.00 90.00 90.00°
Element x y z (fractional)
Li 0.000 0.000 0.500
Li 0.000 0.500 0.000
Li 0.500 0.000 0.000
Ga 0.500 0.500 0.500
Re 0.000 0.000 0.000

E = -17.53 eV/atom
spin magnetization = 0.42 μB/atom
density of states at the Fermi level = 2.63 states/eV per cell
ΔE_f = 1.389 eV/atom
SG = Pm-3m